# BaAc3Co4O12, relaxed, DFT PBE with a Hubbard U
# spin magnetization = 45.0 μB per cell
# volume = 19.30 A^3/atom
# DOS(E_F) = 0.42 states/eV per atom
# calculated total energy = -400.2 eV per cell
data_BaAc3Co4O12
_space_group_name_H-M_alt 'R 3 2'
_space_group_IT_number 155
_space_group_name_Hall 'R 3 2"'
_cell_length_a 11.8708
_cell_length_b 11.8708
_cell_length_c 9.4903
_cell_angle_alpha 90.00
_cell_angle_beta 90.00
_cell_angle_gamma 120.00
loop_
_atom_site_label
_atom_site_type_symbol
_atom_site_fract_x
_atom_site_fract_y
_atom_site_fract_z
_atom_site_occupancy
Ba1 Ba 0.0000 0.0000 0.0000 1
Ac1 Ac 0.0000 0.5412 0.0000 1
Co1 Co 0.0000 0.0000 0.5000 1
Co2 Co 0.0000 0.4563 0.5000 1
O1 O 0.0000 0.6045 0.5000 1
O2 O 0.0000 0.8510 0.5000 1
O3 O 0.0175 0.1982 0.1792 1